LaNiF5: optimized geometry, PBE+U.

* electronic total energy: -5.69 eV/atom
* density of states at the Fermi level: 0.00 states/eV/f.u.
* spin magnetization: 1.999 μB/f.u.

CIF file:
```
data_LaNiF5
_space_group_name_H-M_alt 'P 1'
_space_group_IT_number 1
_space_group_name_Hall 'P 1'
_cell_length_a 5.7642
_cell_length_b 5.7642
_cell_length_c 7.9705
_cell_angle_alpha 69.93
_cell_angle_beta 69.93
_cell_angle_gamma 71.70
loop_
_atom_site_label
_atom_site_fract_x
_atom_site_fract_y
_atom_site_fract_z
La1 0.4436 0.5564 0.7500
La2 0.5564 0.4436 0.2500
Ni1 0.0000 0.0000 0.0000
Ni2 0.0000 0.0000 0.5000
F1 0.2128 0.2535 0.8817
F2 0.2921 0.6891 0.4685
F3 0.2535 0.2128 0.3817
F4 0.0837 0.9163 0.7500
F5 0.3109 0.7079 0.0315
F6 0.6891 0.2921 0.9685
F7 0.9163 0.0837 0.2500
F8 0.7465 0.7872 0.6183
F9 0.7079 0.3109 0.5315
F10 0.7872 0.7465 0.1183
```